# Ce3Cd5Pd2, relaxed, DFT PBE
data_Ce3Cd5Pd2
_chemical_formula_sum 'Ce12 Cd20 Pd8'
_symmetry_space_group_name_H-M 'I b a m'
_symmetry_Int_Tables_number 72
_symmetry_space_group_name_Hall '-I 2 2c'
_cell_length_a 12.482
_cell_length_b 12.608
_cell_length_c 6.297
_cell_angle_alpha 90.00
_cell_angle_beta 90.00
_cell_angle_gamma 90.00
loop_
_atom_site_label
_atom_site_type_symbol
_atom_site_fract_x
_atom_site_fract_y
_atom_site_fract_z
Ce1 Ce 0.000 0.000 0.250
Ce2 Ce 0.140 0.252 0.000
Cd1 Cd 0.000 0.500 0.250
Cd2 Cd 0.110 0.348 0.500
Cd3 Cd 0.240 0.500 0.250
Pd1 Pd 0.136 0.138 0.500
# Uncorrected energy in eV/atom: -3.544